Entry 1:
{"formula": "Tb2AuS", "functional": "PBE", "state": "optimized geometry", "relative_energy_ev_per_atom": 0.000, "formation_energy_uncorrected_ev_per_atom": -1.4214, "m_tot_mub_per_cell": 0.0, "lattice": [[4.125, 0.000, 0.000], [0.000, 3.890, -0.691], [0.000, 0.051, 11.584]], "species": ["Au", "Tb", "S", "Tb", "S", "Tb", "Tb", "Au"], "fractional_positions": [[0.250, 0.454, 0.908], [0.750, 0.928, 0.856], [0.750, 0.807, 0.615], [0.250, 0.072, 0.144], [0.250, 0.193, 0.385], [0.750, 0.687, 0.375], [0.250, 0.313, 0.625], [0.750, 0.546, 0.092]]}

---

Entry 2:
{"formula": "TbDy4Te5", "functional": "PBE", "state": "optimized geometry", "formation_energy_uncorrected_ev_per_atom": -1.2855, "m_tot_mub_per_cell": 0.0, "lattice": [[4.250, 0.000, 0.971], [1.792, 7.070, 1.943], [0.014, 0.016, 9.728]], "species": ["Te", "Dy", "Te", "Te", "Tb", "Te", "Te", "Dy", "Dy", "Dy"], "fractional_positions": [[0.799, 0.100, 0.301], [0.799, 0.601, 0.800], [0.399, 0.302, 0.900], [0.201, 0.900, 0.699], [0.000, 0.000, 0.000], [0.000, 0.500, 0.500], [0.601, 0.698, 0.100], [0.600, 0.200, 0.601], [0.400, 0.800, 0.399], [0.201, 0.399, 0.200]]}

---

Entry 3:
{"formula": "GdHoZn2", "functional": "PBE", "state": "optimized geometry", "delta_e_f_mev_per_atom": -347, "m_tot_mub_per_cell": 7.9, "lattice": [[3.596, 0.000, 0.000], [0.000, 5.047, 0.000], [0.000, 0.000, 5.047]], "species": ["Zn", "Zn", "Gd", "Ho"], "fractional_positions": [[0.000, 0.000, 0.500], [0.000, 0.500, 0.000], [0.500, 0.000, 0.000], [0.500, 0.500, 0.500]]}

---

Entry 4:
{"formula": "KMgMo2", "functional": "PBE", "state": "optimized geometry", "delta_e_f_mev_per_atom": 1653, "m_tot_mub_per_cell": 1.6, "lattice": [[5.623, 0.000, 0.000], [0.000, 5.623, 0.000], [0.000, 0.000, 2.643]], "species": ["Mo", "Mg", "K", "Mo"], "fractional_positions": [[0.000, 0.000, 0.000], [0.000, 0.500, 0.500], [0.500, 0.000, 0.500], [0.500, 0.500, 0.000]]}

---

Entry 5:
{"formula": "Zr2Sn4Au", "functional": "PBE", "state": "optimized geometry", "delta_e_f_mev_per_atom": -169, "m_tot_mub_per_cell": 0.0, "lattice": [[-2.694, 2.506, -1.363], [2.107, -0.835, -5.700], [-4.309, -6.177, 2.808]], "species": ["Sn", "Zr", "Au", "Sn", "Zr", "Sn", "Sn"], "fractional_positions": [[0.387, 0.692, 0.775], [0.764, 0.796, 0.528], [0.000, 0.000, 0.000], [0.613, 0.308, 0.225], [0.236, 0.204, 0.472], [0.902, 0.305, 0.804], [0.098, 0.695, 0.196]]}

---

Entry 6:
{"formula": "Dy5In4Pd", "functional": "PBE", "state": "optimized geometry", "delta_e_f_mev_per_atom": -563, "m_tot_mub_per_cell": 0.0, "lattice": [[-0.770, -0.630, 3.394], [2.786, -2.166, 0.230], [11.763, 15.723, 5.585]], "species": ["Dy", "In", "Dy", "In", "In", "Dy", "Dy", "Pd", "In", "Dy"], "fractional_positions": [[0.500, 0.500, 0.500], [0.000, 0.000, 0.396], [0.500, 0.500, 0.292], [0.000, 0.000, 0.811], [0.000, 0.000, 0.189], [0.500, 0.500, 0.708], [0.500, 0.500, 0.084], [0.000, 0.000, 0.000], [0.000, 0.000, 0.604], [0.500, 0.500, 0.916]]}

---

Entry 7:
{"formula": "Li3Pd3RhO8", "functional": "PBE", "state": "optimized geometry", "formation_energy_uncorrected_ev_per_atom": -0.8924, "m_tot_mub_per_cell": 0.0, "lattice": [[-4.390, -3.188, -2.584], [2.284, -2.036, 5.620], [-3.403, 4.717, -0.039]], "species": ["Pd", "O", "Li", "O", "O", "Li", "O", "O", "O", "Pd", "Pd", "O", "Li", "Rh", "O"], "fractional_positions": [[0.000, 0.500, 0.500], [0.212, 0.424, 0.221], [0.000, 0.500, 0.000], [0.778, 0.066, 0.304], [0.222, 0.934, 0.696], [0.000, 0.000, 0.000], [0.287, 0.066, 0.304], [0.713, 0.934, 0.696], [0.788, 0.576, 0.779], [0.500, 0.500, 0.500], [0.500, 0.000, 0.500], [0.782, 0.563, 0.288], [0.500, 0.500, 0.000], [0.000, 0.000, 0.500], [0.218, 0.437, 0.712]]}

---

Entry 8:
{"formula": "Pu2ThSi", "functional": "PBE", "state": "optimized geometry", "relative_energy_ev_per_atom": 0.000, "formation_energy_uncorrected_ev_per_atom": -0.2263, "m_tot_mub_per_cell": 11.4, "lattice": [[-0.526, 3.669, -3.051], [-2.665, -2.513, -2.563], [-3.556, 1.413, 2.312]], "species": ["Th", "Pu", "Pu", "Si"], "fractional_positions": [[0.500, 0.000, 0.000], [0.000, 0.500, 0.000], [0.000, 0.000, 0.500], [0.500, 0.500, 0.500]]}

---

Entry 9:
{"formula": "AcNdZr", "functional": "PBE", "state": "optimized geometry", "delta_e_f_mev_per_atom": 144, "relative_energy_ev_per_atom": 0.000, "m_tot_mub_per_cell": 0.0, "lattice": [[3.919, 0.000, 0.000], [0.000, 3.919, 0.000], [0.000, 0.000, 13.280]], "species": ["Ac", "Zr", "Nd", "Ac", "Nd", "Zr"], "fractional_positions": [[0.000, 0.500, 0.287], [0.000, 0.500, 0.545], [0.000, 0.500, 0.910], [0.500, 0.000, 0.713], [0.500, 0.000, 0.090], [0.500, 0.000, 0.455]]}

---

Entry 10:
{"formula": "Li2TcW", "functional": "PBE", "state": "optimized geometry", "delta_e_f_mev_per_atom": 363, "relative_energy_ev_per_atom": 0.148, "m_tot_mub_per_cell": 0.0, "lattice": [[-1.502, 1.364, -1.545], [-0.996, -3.518, -2.137], [-4.442, -0.889, 3.533]], "species": ["Tc", "W", "Li", "Li"], "fractional_positions": [[0.000, 0.000, 0.524], [0.500, 0.500, 0.724], [0.500, 0.500, 0.236], [0.000, 0.000, 0.016]]}

---

Entry 11:
{"formula": "Be2CdTe", "functional": "PBE", "state": "optimized geometry", "relative_energy_ev_per_atom": 0.142, "formation_energy_uncorrected_ev_per_atom": 0.4451, "m_tot_mub_per_cell": 0.0, "lattice": [[3.679, 0.002, 0.010], [1.827, 3.194, 0.010], [1.856, 1.077, 6.258]], "species": ["Be", "Te", "Be", "Cd"], "fractional_positions": [[0.505, 0.505, 0.484], [0.250, 0.250, 0.250], [0.995, 0.995, 0.016], [0.750, 0.750, 0.750]]}

---

Entry 12:
{"formula": "La2YHg2", "functional": "PBE", "state": "optimized geometry", "delta_e_f_mev_per_atom": -383, "relative_energy_ev_per_atom": 0.000, "m_tot_mub_per_cell": 0.3, "lattice": [[-2.575, -0.051, -2.788], [3.876, -1.107, -3.560], [-0.786, -14.197, 3.561]], "species": ["La", "Hg", "Hg", "Hg", "Y", "La", "La", "La", "Hg", "Y"], "fractional_positions": [[0.043, 0.750, 0.085], [0.362, 0.250, 0.722], [0.638, 0.750, 0.278], [0.440, 0.750, 0.882], [0.148, 0.250, 0.293], [0.957, 0.250, 0.915], [0.768, 0.250, 0.534], [0.232, 0.750, 0.466], [0.560, 0.250, 0.118], [0.852, 0.750, 0.707]]}

---

Entry 13:
{"formula": "TbHoRh", "functional": "PBE", "state": "optimized geometry", "delta_e_f_mev_per_atom": -557, "relative_energy_ev_per_atom": 0.089, "m_tot_mub_per_cell": 0.0, "lattice": [[3.452, 0.000, 0.000], [0.000, 3.452, 0.000], [-1.726, -1.726, 6.303]], "species": ["Tb", "Ho", "Rh"], "fractional_positions": [[0.035, 0.035, 0.070], [0.297, 0.297, 0.593], [0.668, 0.668, 0.336]]}